1.
Material: YZn2Pt4
Method: DFT, PBE
State: relaxed

a = 5.2575 Å, b = 5.4467 Å, c = 5.4467 Å
α = 76.53°, β = 61.14°, γ = 61.14°
Fractional coordinates of all 7 atoms:
Pt 0.7033 0.0000 0.5935
Pt 0.2967 0.0000 0.4065
Pt 0.7033 0.5935 0.0000
Pt 0.2967 0.4065 0.0000
Zn 0.7500 0.5000 0.5000
Zn 0.2500 0.5000 0.5000
Y 0.0000 0.0000 0.0000

Computed properties:
As for the crystal system: tetragonal. The space-group type is I4/mmm (139). The energy of formation from the pure elements comes out at -695 meV per atom. The value obtained for the density of states at the Fermi level is 4.30 states/eV/cell. The calculation puts the magnetic moment at 0.0000 μB per atom.



2.
Material: Y2Zn3Pt4
Method: DFT, PBE
State: relaxed

a = 5.6098 Å, b = 7.6031 Å, c = 8.0958 Å
α = 90.00°, β = 110.27°, γ = 90.00°
Fractional coordinates of all 18 atoms:
Zn 0.0215 0.7500 0.5430
Zn 0.0000 0.0000 0.0000
Zn 0.9785 0.2500 0.4570
Zn 0.4785 0.2500 0.4570
Zn 0.5215 0.7500 0.5430
Zn 0.5000 0.5000 0.0000
Y 0.1107 0.5871 0.2214
Y 0.8893 0.4129 0.7786
Y 0.3893 0.0871 0.7786
Y 0.6107 0.9129 0.2214
Pt 0.8229 0.0265 0.6457
Pt 0.3081 0.2500 0.1163
Pt 0.1771 0.9735 0.3543
Pt 0.1919 0.7500 0.8837
Pt 0.6771 0.5265 0.3543
Pt 0.3229 0.4735 0.6457
Pt 0.6919 0.7500 0.8837
Pt 0.8081 0.2500 0.1163

Computed properties:
As for the crystal system: orthorhombic. The space-group type is Cmce (64). The energy of formation from the pure elements comes out at -898 meV per atom. The value obtained for the density of states at the Fermi level is 7.40 states/eV/cell. The calculation puts the magnetic moment at 0.0000 μB per atom.



3.
Material: YZr2Pt
Method: DFT, PBE
State: relaxed

a = 4.6301 Å, b = 3.4575 Å, c = 5.9269 Å
α = 72.23°, β = 90.00°, γ = 90.00°
Fractional coordinates of all 4 atoms:
Zr 0.0000 0.4451 0.4727
Zr 0.0000 0.0549 0.0273
Pt 0.5000 0.2500 0.2500
Y 0.5000 0.7500 0.7500

Computed properties:
As for the crystal system: monoclinic. For the offset from the most stable computed form, the calculation gives 161.6 meV/atom. The space-group type is P2/m (10). The energy of formation from the pure elements comes out at -361 meV per atom. The value obtained for the density of states at the Fermi level is 3.26 states/eV/cell. The calculation puts the magnetic moment at 0.0000 μB per atom.



4.
Material: Y2ZrPt
Method: DFT, PBE
State: relaxed

a = 5.0431 Å, b = 5.0431 Å, c = 5.0431 Å
α = 60.00°, β = 60.00°, γ = 60.00°
Fractional coordinates of all 4 atoms:
Y 0.2500 0.2500 0.2500
Y 0.0000 0.0000 0.0000
Zr 0.7500 0.7500 0.7500
Pt 0.5000 0.5000 0.5000

Computed properties:
As for the crystal system: cubic. For the offset from the most stable computed form, the calculation gives 334.5 meV/atom. The space-group type is F-43m (216). The energy of formation from the pure elements comes out at -215 meV per atom. The value obtained for the density of states at the Fermi level is 6.78 states/eV/cell. The calculation puts the magnetic moment at 0.0001 μB per atom.



5.
Material: Y2ZrPt9
Method: DFT, PBE
State: relaxed

a = 4.1009 Å, b = 4.1009 Å, c = 12.3109 Å
α = 90.00°, β = 90.00°, γ = 90.00°
Fractional coordinates of all 12 atoms:
Y 0.0000 0.0000 0.6671
Y 0.0000 0.0000 0.3329
Pt 0.5000 0.5000 0.6700
Pt 0.5000 0.0000 0.5000
Pt 0.5000 0.0000 0.1599
Pt 0.5000 0.5000 0.3300
Pt 0.5000 0.5000 0.0000
Pt 0.0000 0.5000 0.1599
Pt 0.5000 0.0000 0.8401
Pt 0.0000 0.5000 0.8401
Pt 0.0000 0.5000 0.5000
Zr 0.0000 0.0000 0.0000

Computed properties:
As for the crystal system: tetragonal. The space-group type is P4/mmm (123). The energy of formation from the pure elements comes out at -1030 meV per atom. The value obtained for the density of states at the Fermi level is 8.21 states/eV/cell. The calculation puts the magnetic moment at 0.0000 μB per atom.



6.
Material: Y3ZrPt
Method: DFT, PBE
State: relaxed

a = 5.3294 Å, b = 5.3294 Å, c = 5.3294 Å
α = 90.00°, β = 90.00°, γ = 90.00°
Fractional coordinates of all 5 atoms:
Pt 0.5000 0.5000 0.5000
Y 0.5000 0.0000 0.0000
Y 0.0000 0.0000 0.5000
Y 0.0000 0.5000 0.0000
Zr 0.0000 0.0000 0.0000

Computed properties:
As for the crystal system: cubic. For the offset from the most stable computed form, the calculation gives 827.2 meV/atom. The space-group type is Pm-3m (221). The energy of formation from the pure elements comes out at 748 meV per atom. The value obtained for the density of states at the Fermi level is 3.59 states/eV/cell. The calculation puts the magnetic moment at 0.0000 μB per atom.



7.
Material: YZr2Pt
Method: DFT, PBE
State: relaxed

a = 3.4310 Å, b = 3.4310 Å, c = 7.6763 Å
α = 90.00°, β = 90.00°, γ = 90.02°
Fractional coordinates of all 4 atoms:
Y 0.5000 0.5000 0.7500
Zr 0.0000 0.0000 0.4569
Zr 0.0000 0.0000 0.0431
Pt 0.5000 0.5000 0.2500

Computed properties:
As for the crystal system: tetragonal. For the offset from the most stable computed form, the calculation gives 113.7 meV/atom. The space-group type is P4/mmm (123). The energy of formation from the pure elements comes out at -409 meV per atom. The value obtained for the density of states at the Fermi level is 5.45 states/eV/cell. The calculation puts the magnetic moment at 0.0000 μB per atom.



8.
Material: YZr2Pt
Method: DFT, PBE
State: relaxed

a = 3.5255 Å, b = 4.7012 Å, c = 6.2863 Å
α = 68.03°, β = 90.00°, γ = 90.00°
Fractional coordinates of all 4 atoms:
Zr 0.5000 0.4488 0.2272
Zr 0.0000 0.0430 0.0387
Y 0.5000 0.7311 0.6628
Pt 0.0000 0.2770 0.5713

Computed properties:
As for the crystal system: orthorhombic. For the offset from the most stable computed form, the calculation gives 43.5 meV/atom. The space-group type is Amm2 (38). The energy of formation from the pure elements comes out at -479 meV per atom. The value obtained for the density of states at the Fermi level is 4.38 states/eV/cell. The calculation puts the magnetic moment at 0.0000 μB per atom.



9.
Material: Y2ZrPt
Method: DFT, PBE
State: relaxed

a = 5.4892 Å, b = 5.4892 Å, c = 5.4892 Å
α = 130.42°, β = 130.42°, γ = 72.74°
Fractional coordinates of all 4 atoms:
Y 0.0000 0.0000 0.0000
Y 0.5000 0.5000 0.0000
Pt 0.7500 0.2500 0.5000
Zr 0.2500 0.7500 0.5000

Computed properties:
As for the crystal system: tetragonal. For the offset from the most stable computed form, the calculation gives 301.5 meV/atom. The space-group type is I4/mmm (139). The energy of formation from the pure elements comes out at -248 meV per atom. The value obtained for the density of states at the Fermi level is 5.74 states/eV/cell. The calculation puts the magnetic moment at 0.0001 μB per atom.



10.
Material: Y2ZrPt
Method: DFT, PBE
State: relaxed

a = 3.4904 Å, b = 3.4904 Å, c = 8.2275 Å
α = 90.00°, β = 90.00°, γ = 90.00°
Fractional coordinates of all 4 atoms:
Zr 0.0000 0.0000 0.5464
Pt 0.5000 0.5000 0.7291
Y 0.0000 0.0000 0.9440
Y 0.5000 0.5000 0.2804

Computed properties:
As for the crystal system: tetragonal. For the offset from the most stable computed form, the calculation gives 51.0 meV/atom. The space-group type is P4mm (99). The energy of formation from the pure elements comes out at -498 meV per atom. The value obtained for the density of states at the Fermi level is 4.53 states/eV/cell. The calculation puts the magnetic moment at 0.0000 μB per atom.



11.
Material: YZr2Pt
Method: DFT, PBE
State: relaxed

a = 5.8590 Å, b = 5.8590 Å, c = 3.2017 Å
α = 79.04°, β = 79.04°, γ = 120.98°
Fractional coordinates of all 4 atoms:
Pt 0.5000 0.0000 0.5000
Zr 0.5000 0.5000 0.0000
Zr 0.0000 0.0000 0.0000
Y 0.0000 0.5000 0.5000

Computed properties:
As for the crystal system: monoclinic. For the offset from the most stable computed form, the calculation gives 282.5 meV/atom. The space-group type is C2/m (12). The energy of formation from the pure elements comes out at -240 meV per atom. The value obtained for the density of states at the Fermi level is 5.67 states/eV/cell. The calculation puts the magnetic moment at 0.0000 μB per atom.



12.
Material: Y2ZrPt
Method: DFT, PBE
State: relaxed

a = 9.5957 Å, b = 9.5957 Å, c = 9.5957 Å
α = 21.42°, β = 21.42°, γ = 21.42°
Fractional coordinates of all 4 atoms:
Zr 0.2500 0.2500 0.2500
Pt 0.7500 0.7500 0.7500
Y 0.4874 0.4874 0.4874
Y 0.0126 0.0126 0.0126

Computed properties:
As for the crystal system: trigonal. For the offset from the most stable computed form, the calculation gives 204.8 meV/atom. The space-group type is R-3m (166). The energy of formation from the pure elements comes out at -345 meV per atom. The value obtained for the density of states at the Fermi level is 3.62 states/eV/cell. The calculation puts the magnetic moment at 0.0000 μB per atom.